A plane-wave DFT calculation with GGA+U was carried out for a geometry-optimized LiMoIO2 structure.

symmetry = P4/mmm, No. 123
total magnetization = 0.400 μB per atom
final energy = -5.215 eV/atom
DOS at the Fermi energy = 0.16 states/eV per atom

POSCAR file:
```
LiMoIO2
1.0
3.9176 0.0000 0.0000
0.0000 3.9176 0.0000
0.0000 0.0000 7.2900
Li Mo I O
1 1 1 2
Direct
0.0000 0.0000 0.0000
0.5000 0.5000 0.5000
0.5000 0.5000 0.0000
0.0000 0.5000 0.5000
0.5000 0.0000 0.5000
```